one) # PBE Mg2GaI, optimized geometry
# - Spin magnetization: 0.00 μB per cell
data_Mg2GaI
_chemical_formula_sum 'Mg8 Ga4 I4'
_symmetry_space_group_name_H-M 'F m -3 m'
_symmetry_Int_Tables_number 225
_symmetry_space_group_name_Hall '-F 4 2 3'
_cell_length_a 7.396
_cell_length_b 7.396
_cell_length_c 7.396
_cell_angle_alpha 90.00
_cell_angle_beta 90.00
_cell_angle_gamma 90.00
loop_
_atom_site_label
_atom_site_type_symbol
_atom_site_fract_x
_atom_site_fract_y
_atom_site_fract_z
Mg1 Mg 0.250 0.250 0.250
Ga1 Ga 0.000 0.000 0.000
I1 I 0.000 0.000 0.500

---

two) # PBE Mg2GaI, optimized geometry
# - Spin magnetization: 0.00 μB per cell
data_Mg2GaI
_chemical_formula_sum 'Mg8 Ga4 I4'
_symmetry_space_group_name_H-M 'I -4 2 d'
_symmetry_Int_Tables_number 122
_symmetry_space_group_name_Hall 'I -4 2bw'
_cell_length_a 7.158
_cell_length_b 7.158
_cell_length_c 10.617
_cell_angle_alpha 90.00
_cell_angle_beta 90.00
_cell_angle_gamma 90.00
loop_
_atom_site_label
_atom_site_type_symbol
_atom_site_fract_x
_atom_site_fract_y
_atom_site_fract_z
Mg1 Mg 0.213 0.250 0.125
Ga1 Ga 0.000 0.000 0.000
I1 I 0.000 0.000 0.500

---

Which is the most stable structure? two) is the most stable.

---

one) # PBE MgGa2I4, optimized geometry
# - Spin magnetization: 0.00 μB per cell
data_MgGa2I4
_chemical_formula_sum 'Mg2 Ga4 I8'
_symmetry_space_group_name_H-M 'I -4 2 m'
_symmetry_Int_Tables_number 121
_symmetry_space_group_name_Hall 'I -4 2'
_cell_length_a 8.016
_cell_length_b 8.016
_cell_length_c 11.485
_cell_angle_alpha 90.00
_cell_angle_beta 90.00
_cell_angle_gamma 90.00
loop_
_atom_site_label
_atom_site_type_symbol
_atom_site_fract_x
_atom_site_fract_y
_atom_site_fract_z
Mg1 Mg 0.000 0.000 0.000
Ga1 Ga 0.000 0.500 0.250
I1 I 0.211 0.211 0.120

---

two) # PBE MgGa2I4, optimized geometry
# - Spin magnetization: 0.00 μB per cell
data_MgGa2I4
_chemical_formula_sum 'Mg2 Ga4 I8'
_symmetry_space_group_name_H-M 'C 1 2/m 1'
_symmetry_Int_Tables_number 12
_symmetry_space_group_name_Hall '-C 2y'
_cell_length_a 14.996
_cell_length_b 4.366
_cell_length_c 9.770
_cell_angle_alpha 90.00
_cell_angle_beta 127.17
_cell_angle_gamma 90.00
loop_
_atom_site_label
_atom_site_type_symbol
_atom_site_fract_x
_atom_site_fract_y
_atom_site_fract_z
Mg1 Mg 0.000 0.000 0.000
Ga1 Ga 0.079 0.500 0.698
I1 I 0.084 0.000 0.355
I2 I 0.161 0.500 0.075

---

Which is the most stable structure? two) is the most stable.

---

one) # PBE MgGaSb2I, optimized geometry
# - Spin magnetization: 0.00 μB per cell
data_MgGaSb2I
_chemical_formula_sum 'Mg1 Ga1 Sb2 I1'
_symmetry_space_group_name_H-M 'P 4/m m m'
_symmetry_Int_Tables_number 123
_symmetry_space_group_name_Hall '-P 4 2'
_cell_length_a 5.368
_cell_length_b 5.368
_cell_length_c 5.693
_cell_angle_alpha 90.00
_cell_angle_beta 90.00
_cell_angle_gamma 90.00
loop_
_atom_site_label
_atom_site_type_symbol
_atom_site_fract_x
_atom_site_fract_y
_atom_site_fract_z
Mg1 Mg 0.000 0.000 0.000
Ga1 Ga 0.500 0.500 0.500
Sb1 Sb 0.000 0.500 0.500
I1 I 0.500 0.500 0.000

---

two) # PBE MgGaSb2I, optimized geometry
# - Spin magnetization: 0.00 μB per cell
data_MgGaSb2I
_chemical_formula_sum 'Mg1 Ga1 Sb2 I1'
_symmetry_space_group_name_H-M 'P 4/m m m'
_symmetry_Int_Tables_number 123
_symmetry_space_group_name_Hall '-P 4 2'
_cell_length_a 5.415
_cell_length_b 5.415
_cell_length_c 5.929
_cell_angle_alpha 90.00
_cell_angle_beta 90.00
_cell_angle_gamma 90.00
loop_
_atom_site_label
_atom_site_type_symbol
_atom_site_fract_x
_atom_site_fract_y
_atom_site_fract_z
Mg1 Mg 0.000 0.000 0.000
Ga1 Ga 0.500 0.500 0.500
Sb1 Sb 0.000 0.500 0.000
I1 I 0.000 0.000 0.500

---

Which is the most stable structure? two) is the most stable.

---

one) # PBE MgGaTe2I, optimized geometry
# - Spin magnetization: 0.00 μB per cell
data_MgGaTe2I
_chemical_formula_sum 'Mg1 Ga1 Te2 I1'
_symmetry_space_group_name_H-M 'P 4/m m m'
_symmetry_Int_Tables_number 123
_symmetry_space_group_name_Hall '-P 4 2'
_cell_length_a 5.449
_cell_length_b 5.449
_cell_length_c 5.564
_cell_angle_alpha 90.00
_cell_angle_beta 90.00
_cell_angle_gamma 90.00
loop_
_atom_site_label
_atom_site_type_symbol
_atom_site_fract_x
_atom_site_fract_y
_atom_site_fract_z
Mg1 Mg 0.000 0.000 0.000
Ga1 Ga 0.500 0.500 0.500
Te1 Te 0.000 0.500 0.500
I1 I 0.500 0.500 0.000

---

two) # PBE MgGaTe2I, optimized geometry
# - Spin magnetization: 0.00 μB per cell
data_MgGaTe2I
_chemical_formula_sum 'Mg1 Ga1 Te2 I1'
_symmetry_space_group_name_H-M 'P 4/m m m'
_symmetry_Int_Tables_number 123
_symmetry_space_group_name_Hall '-P 4 2'
_cell_length_a 5.496
_cell_length_b 5.496
_cell_length_c 5.873
_cell_angle_alpha 90.00
_cell_angle_beta 90.00
_cell_angle_gamma 90.00
loop_
_atom_site_label
_atom_site_type_symbol
_atom_site_fract_x
_atom_site_fract_y
_atom_site_fract_z
Mg1 Mg 0.000 0.000 0.000
Ga1 Ga 0.500 0.500 0.500
Te1 Te 0.000 0.500 0.000
I1 I 0.000 0.000 0.500

---

Which is the most stable structure? two) is the most stable.

---

one) # PBE Mn2GaI, optimized geometry
# - Spin magnetization: 0.00 μB per cell
data_Mn2GaI
_chemical_formula_sum 'Mn8 Ga4 I4'
_symmetry_space_group_name_H-M 'F m -3 m'
_symmetry_Int_Tables_number 225
_symmetry_space_group_name_Hall '-F 4 2 3'
_cell_length_a 6.134
_cell_length_b 6.134
_cell_length_c 6.134
_cell_angle_alpha 90.00
_cell_angle_beta 90.00
_cell_angle_gamma 90.00
loop_
_atom_site_label
_atom_site_type_symbol
_atom_site_fract_x
_atom_site_fract_y
_atom_site_fract_z
Mn1 Mn 0.250 0.250 0.250
Ga1 Ga 0.000 0.000 0.000
I1 I 0.000 0.000 0.500

---

two) # PBE Mn2GaI, optimized geometry
# - Spin magnetization: 33.14 μB per cell
data_Mn2GaI
_chemical_formula_sum 'Mn8 Ga4 I4'
_symmetry_space_group_name_H-M 'I -4 2 d'
_symmetry_Int_Tables_number 122
_symmetry_space_group_name_Hall 'I -4 2bw'
_cell_length_a 7.444
_cell_length_b 7.444
_cell_length_c 6.268
_cell_angle_alpha 90.00
_cell_angle_beta 90.00
_cell_angle_gamma 90.00
loop_
_atom_site_label
_atom_site_type_symbol
_atom_site_fract_x
_atom_site_fract_y
_atom_site_fract_z
Mn1 Mn 0.225 0.250 0.125
Ga1 Ga 0.000 0.000 0.000
I1 I 0.000 0.000 0.500

---

Which is the most stable structure? two) is the most stable.

---

one) # PBE MnGaI4, optimized geometry
# - Spin magnetization: 9.47 μB per cell
data_MnGaI4
_chemical_formula_sum 'Mn2 Ga2 I8'
_symmetry_space_group_name_H-M 'P 42/m m c'
_symmetry_Int_Tables_number 131
_symmetry_space_group_name_Hall '-P 4c 2'
_cell_length_a 8.144
_cell_length_b 8.144
_cell_length_c 10.033
_cell_angle_alpha 90.00
_cell_angle_beta 90.00
_cell_angle_gamma 90.00
loop_
_atom_site_label
_atom_site_type_symbol
_atom_site_fract_x
_atom_site_fract_y
_atom_site_fract_z
Mn1 Mn 0.000 0.000 0.000
Ga1 Ga 0.000 0.500 0.000
I1 I 0.231 0.240 0.500

---

two) # PBE MnGaI4, optimized geometry
# - Spin magnetization: 9.03 μB per cell
data_MnGaI4
_chemical_formula_sum 'Mn2 Ga2 I8'
_symmetry_space_group_name_H-M 'C 1 2/m 1'
_symmetry_Int_Tables_number 12
_symmetry_space_group_name_Hall '-C 2y'
_cell_length_a 16.445
_cell_length_b 4.147
_cell_length_c 7.328
_cell_angle_alpha 90.00
_cell_angle_beta 115.69
_cell_angle_gamma 90.00
loop_
_atom_site_label
_atom_site_type_symbol
_atom_site_fract_x
_atom_site_fract_y
_atom_site_fract_z
Mn1 Mn 0.000 0.000 0.000
Ga1 Ga 0.000 0.500 0.500
I1 I 0.112 0.500 0.271
I2 I 0.114 0.000 0.793

---

Which is the most stable structure? two) is the most stable.

---

one) # PBE MnGaI2N, optimized geometry
# - Spin magnetization: 4.28 μB per cell
data_MnGaI2N
_chemical_formula_sum 'Mn1 Ga1 I2 N1'
_symmetry_space_group_name_H-M 'P 4/m m m'
_symmetry_Int_Tables_number 123
_symmetry_space_group_name_Hall '-P 4 2'
_cell_length_a 5.839
_cell_length_b 5.839
_cell_length_c 3.703
_cell_angle_alpha 90.00
_cell_angle_beta 90.00
_cell_angle_gamma 90.00
loop_
_atom_site_label
_atom_site_type_symbol
_atom_site_fract_x
_atom_site_fract_y
_atom_site_fract_z
Mn1 Mn 0.000 0.000 0.000
Ga1 Ga 0.500 0.500 0.500
I1 I 0.000 0.500 0.500
N1 N 0.500 0.500 0.000

---

two) # PBE MnGaI2N, optimized geometry
# - Spin magnetization: 2.97 μB per cell
data_MnGaI2N
_chemical_formula_sum 'Mn1 Ga1 I2 N1'
_symmetry_space_group_name_H-M 'P 4/m m m'
_symmetry_Int_Tables_number 123
_symmetry_space_group_name_Hall '-P 4 2'
_cell_length_a 5.828
_cell_length_b 5.828
_cell_length_c 3.653
_cell_angle_alpha 90.00
_cell_angle_beta 90.00
_cell_angle_gamma 90.00
loop_
_atom_site_label
_atom_site_type_symbol
_atom_site_fract_x
_atom_site_fract_y
_atom_site_fract_z
Mn1 Mn 0.000 0.000 0.000
Ga1 Ga 0.500 0.500 0.500
I1 I 0.000 0.500 0.000
N1 N 0.000 0.000 0.500

---

Which is the most stable structure? two) is the most stable.